# La2PmY6Th2 PBE relaxed
data_La2PmY6Th2
_cell_length_a 6.288
_cell_length_b 10.659
_cell_length_c 11.673
_cell_angle_alpha 90.00
_cell_angle_beta 97.69
_cell_angle_gamma 90.00
_symmetry_space_group_name_H-M 'C 1 2/m 1'
_symmetry_Int_Tables_number 12
_symmetry_space_group_name_Hall '-C 2y'
loop_
_atom_site_label
_atom_site_type_symbol
_atom_site_fract_x
_atom_site_fract_y
_atom_site_fract_z
_atom_site_occupancy
La1 La 0.000 0.180 0.000 1
Pm1 Pm 0.000 0.000 0.500 1
Y1 Y 0.226 0.500 0.750 1
Y2 Y 0.235 0.169 0.742 1
Th1 Th 0.000 0.335 0.500 1
# Fermi-level density of states: 33.1 states/eV/cell
# Magnetization: 0.03 μB per cell
# Formation energy from the elements: 0.180 eV/atom